Ho2SnPt | PBE-GGA | optimized geometry

```
Ho2SnPt
1.0
-1.031 -1.871 3.273
2.725 -1.019 2.610
-0.377 6.112 5.708
Ho Pt Sn
2 1 1
Cartesian
0.369 0.504 2.738 Ho
0.947 2.717 8.853 Ho
0.000 0.000 0.000 Pt
0.658 1.611 5.795 Sn
```

Summary:
Its space group is No. 166. The total magnetization comes out at 0.0 μB per cell. Its density of states at the Fermi level is 3.095 states/eV per cell. For the total energy, the calculation gives -22.5 eV per cell.